Entry 1:
A plane-wave DFT calculation with PBEsol was carried out for TlAgRu2 after structural relaxation.

Cell: 4.231 2.871 10.961 Å, 90.00 90.00 90.00°
Space group Amm2 (No. 38)
Unique sites:
Tl  0.000  0.000  0.000
Ag  0.500  0.000  0.360
Ru  0.000  0.000  0.738
Ru  0.500  0.000  0.636

Values from the calculation:
distance to the lowest polymorph of the same formula = 0 meV/atom
VASP energy = -5.970 eV per atom
energy of formation = 0.602 eV/atom
crystal system = orthorhombic

=====

Entry 2:
A plane-wave DFT calculation with PBEsol was carried out for TlAgRu2 after structural relaxation.

Cell: 9.216 2.881 4.962 Å, 90.00 101.21 90.00°
Space group C2/m (No. 12)
Unique sites:
Tl  0.000  0.000  0.000
Ag  0.000  0.500  0.500
Ru  0.250  0.000  0.724

Values from the calculation:
distance to the lowest polymorph of the same formula = 37 meV/atom
VASP energy = -5.932 eV per atom
energy of formation = 0.639 eV/atom
crystal system = monoclinic

=====

Entry 3:
A plane-wave DFT calculation with PBEsol was carried out for TlAgRu2 after structural relaxation.

Cell: 4.417 4.417 3.271 Å, 90.00 90.00 90.00°
Space group P4/mmm (No. 123)
Unique sites:
Tl  0.000  0.000  0.000
Ag  0.500  0.500  0.000
Ru  0.000  0.500  0.500

Values from the calculation:
distance to the lowest polymorph of the same formula = 134 meV/atom
VASP energy = -5.836 eV per atom
energy of formation = 0.736 eV/atom
crystal system = tetragonal

=====

Entry 4:
A plane-wave DFT calculation with PBEsol was carried out for AgRuW2 after structural relaxation.

Cell: 2.728 2.728 8.258 Å, 90.00 90.00 90.00°
Space group P4mm (No. 99)
Unique sites:
Ag  0.000  0.000  0.000
Ru  0.500  0.500  0.259
W  0.000  0.000  0.476
W  0.500  0.500  0.738

Values from the calculation:
distance to the lowest polymorph of the same formula = 0 meV/atom
VASP energy = -9.893 eV per atom
energy of formation = 0.382 eV/atom
crystal system = tetragonal

=====

Entry 5:
A plane-wave DFT calculation with PBEsol was carried out for AgRu2W after structural relaxation.

Cell: 5.517 8.914 2.675 Å, 90.00 116.57 90.00°
Space group C2/m (No. 12)
Unique sites:
Ag  0.000  0.000  0.000
Ru  0.250  0.250  0.500
W  0.000  0.500  0.000

Values from the calculation:
distance to the lowest polymorph of the same formula = 329 meV/atom
VASP energy = -8.797 eV per atom
energy of formation = 0.569 eV/atom
crystal system = monoclinic

=====

Entry 6:
A plane-wave DFT calculation with PBEsol was carried out for Ag2RuW after structural relaxation.

Cell: 6.256 6.256 6.256 Å, 90.00 90.00 90.00°
Space group Fm-3m (No. 225)
Unique sites:
Ag  0.250  0.250  0.250
Ru  0.000  0.000  0.000
W  0.000  0.000  0.500

Values from the calculation:
distance to the lowest polymorph of the same formula = 440 meV/atom
VASP energy = -6.700 eV per atom
energy of formation = 0.950 eV/atom
crystal system = cubic

=====

Entry 7:
A plane-wave DFT calculation with PBEsol was carried out for AgRuW2 after structural relaxation.

Cell: 2.978 4.586 9.108 Å, 90.00 90.00 90.00°
Space group Imm2 (No. 44)
Unique sites:
Ag  0.000  0.000  0.000
Ru  0.000  0.500  0.763
W  0.000  0.000  0.490
W  0.000  0.500  0.227

Values from the calculation:
distance to the lowest polymorph of the same formula = 185 meV/atom
VASP energy = -9.708 eV per atom
energy of formation = 0.566 eV/atom
crystal system = orthorhombic

=====

Entry 8:
A plane-wave DFT calculation with PBEsol was carried out for AgRuW2 after structural relaxation.

Cell: 2.807 3.851 5.674 Å, 90.00 90.00 90.00°
Space group Pmm2 (No. 25)
Unique sites:
Ag  0.000  0.000  0.000
Ru  0.500  0.500  0.272
W  0.000  0.000  0.481
W  0.500  0.500  0.736

Values from the calculation:
distance to the lowest polymorph of the same formula = 28 meV/atom
VASP energy = -9.865 eV per atom
energy of formation = 0.409 eV/atom
crystal system = orthorhombic